[1]
This record from Alexandria describes BeAl2P after structural relaxation. The functional is PBE.

```
BeAl2P
1.0
2.8229 0.0000 0.0000
-1.4115 2.4447 0.0000
0.0000 0.0000 24.5711
Be Al P
3 6 3
direct
0.0000 0.0000 0.0000 Be
0.3333 0.6667 0.6667 Be
0.6667 0.3333 0.3333 Be
0.0000 0.0000 0.2504 Al
0.0000 0.0000 0.4861 Al
0.3333 0.6667 0.1527 Al
0.3333 0.6667 0.9171 Al
0.6667 0.3333 0.5838 Al
0.6667 0.3333 0.8194 Al
0.0000 0.0000 0.7304 P
0.3333 0.6667 0.3970 P
0.6667 0.3333 0.0637 P
```

Summary:
Space group ... R3m
DOS(E_F) ... 0.339 states/eV/atom
Volume ... 14.13 Å³ per atom
Polymorph energy (0 for the lowest one) ... 0.167 eV/atom
Formation enthalpy at 0 K ... 0.225 eV per atom

[2]
This record from Alexandria describes BeAl2P after structural relaxation. The functional is PBE.

```
BeAl2P
1.0
2.7165 0.0000 0.0000
0.0000 3.6217 0.0000
0.0000 0.0000 5.6251
Be Al P
1 2 1
direct
0.0000 0.0000 0.0000 Be
0.5000 0.5000 0.2350 Al
0.5000 0.5000 0.7650 Al
0.0000 0.0000 0.5000 P
```

Summary:
Space group ... Pmmm
DOS(E_F) ... 0.396 states/eV/atom
Volume ... 13.84 Å³ per atom
Polymorph energy (0 for the lowest one) ... 0.171 eV/atom
Formation enthalpy at 0 K ... 0.229 eV per atom

[3]
This record from Alexandria describes BeAl2P after structural relaxation. The functional is PBE.

```
BeAl2P
1.0
6.0611 0.0000 0.0000
0.0000 6.0611 0.0000
0.0000 0.0000 6.0611
Be Al P
4 8 4
direct
0.0000 0.0000 0.0000 Be
0.0000 0.5000 0.5000 Be
0.5000 0.0000 0.5000 Be
0.5000 0.5000 0.0000 Be
0.2500 0.2500 0.2500 Al
0.2500 0.2500 0.7500 Al
0.2500 0.7500 0.2500 Al
0.2500 0.7500 0.7500 Al
0.7500 0.2500 0.2500 Al
0.7500 0.2500 0.7500 Al
0.7500 0.7500 0.2500 Al
0.7500 0.7500 0.7500 Al
0.0000 0.0000 0.5000 P
0.0000 0.5000 0.0000 P
0.5000 0.0000 0.0000 P
0.5000 0.5000 0.5000 P
```

Summary:
Space group ... Fm-3m
DOS(E_F) ... 0.354 states/eV/atom
Volume ... 13.92 Å³ per atom
Polymorph energy (0 for the lowest one) ... 0.279 eV/atom
Formation enthalpy at 0 K ... 0.336 eV per atom

[4]
This record from Alexandria describes Be4AlP after structural relaxation. The functional is PBE.

```
Be4AlP
1.0
0.0000 3.1565 3.1565
3.1565 0.0000 3.1565
3.1565 3.1565 0.0000
Be Al P
4 1 1
direct
0.3757 0.3757 0.3757 Be
0.3757 0.3757 0.8729 Be
0.3757 0.8729 0.3757 Be
0.8729 0.3757 0.3757 Be
0.7500 0.7500 0.7500 Al
0.0000 0.0000 0.0000 P
```

Summary:
Space group ... F-43m
DOS(E_F) ... 0.594 states/eV/atom
Volume ... 10.48 Å³ per atom
Formation enthalpy at 0 K ... 0.278 eV per atom

[5]
This record from Alexandria describes BeAlP2 after structural relaxation. The functional is PBE.

```
BeAlP2
1.0
5.0560 0.0000 0.0000
0.0000 5.0560 0.0000
0.0000 0.0000 11.1476
Be Al P
4 4 8
direct
0.0000 0.0000 0.0000 Be
0.0000 0.5000 0.2500 Be
0.5000 0.0000 0.7500 Be
0.5000 0.5000 0.5000 Be
0.0000 0.0000 0.5000 Al
0.0000 0.5000 0.7500 Al
0.5000 0.0000 0.2500 Al
0.5000 0.5000 0.0000 Al
0.2134 0.2500 0.1250 P
0.2500 0.7134 0.3750 P
0.2500 0.7866 0.8750 P
0.2866 0.2500 0.6250 P
0.7134 0.7500 0.6250 P
0.7500 0.2134 0.8750 P
0.7500 0.2866 0.3750 P
0.7866 0.7500 0.1250 P
```

Summary:
Space group ... I-42d
DOS(E_F) ... 0.517 states/eV/atom
Volume ... 17.81 Å³ per atom
Polymorph energy (0 for the lowest one) ... 0.000 eV/atom
Formation enthalpy at 0 K ... -0.240 eV per atom

[6]
This record from Alexandria describes BeAl2P after structural relaxation. The functional is PBE.

```
BeAl2P
1.0
2.8463 0.0000 0.0000
-1.4231 2.4650 0.0000
0.0000 0.0000 23.7372
Be Al P
3 6 3
direct
0.0000 0.0000 0.0000 Be
0.3333 0.6667 0.6667 Be
0.6667 0.3333 0.3333 Be
0.0000 0.0000 0.2532 Al
0.0000 0.0000 0.7468 Al
0.3333 0.6667 0.4134 Al
0.3333 0.6667 0.9199 Al
0.6667 0.3333 0.0801 Al
0.6667 0.3333 0.5866 Al
0.0000 0.0000 0.5000 P
0.3333 0.6667 0.1667 P
0.6667 0.3333 0.8333 P
```

Summary:
Space group ... R-3m
DOS(E_F) ... 0.131 states/eV/atom
Volume ... 13.88 Å³ per atom
Polymorph energy (0 for the lowest one) ... 0.190 eV/atom
Formation enthalpy at 0 K ... 0.248 eV per atom

no.,ρ (Mg/m³)
1,2.76
2,2.82
3,2.80
4,2.48
5,2.28
6,2.81